Compound: ZnHgB3
Source: Alexandria via LeMat-Bulk
Functional: PBE-GGA
Structure: optimized geometry

Lattice parameters (Å, degrees): 4.4233 4.4233 4.4233 90.00 90.00 90.00
Element x y z (fractional)
1 Zn 0.0000 0.0000 0.0000
2 Hg 0.5000 0.5000 0.5000
3 B 0.0000 0.5000 0.5000
4 B 0.5000 0.0000 0.5000
5 B 0.5000 0.5000 0.0000

Values from the calculation:
offset from the most stable computed form = 424 meV/atom
energy relative to the elements = 2310 meV/atom
space group = Pm-3m, No. 221

***

Compound: SrCoGeH
Source: Alexandria via LeMat-Bulk
Functional: PBE-GGA
Structure: optimized geometry

Lattice parameters (Å, degrees): 4.0057 4.0057 8.6417 90.00 90.00 90.00
Element x y z (fractional)
1 Sr 0.2500 0.2500 0.1600
2 Sr 0.7500 0.7500 0.8400
3 Co 0.2500 0.7500 0.5000
4 Co 0.7500 0.2500 0.5000
5 Ge 0.2500 0.2500 0.6402
6 Ge 0.7500 0.7500 0.3598
7 H 0.2500 0.7500 0.0000
8 H 0.7500 0.2500 0.0000

Values from the calculation:
VASP energy = -18.6 eV per formula unit
space group = P4/nmm, No. 129

***

Compound: Cs4Sm3USe8
Source: Alexandria via LeMat-Bulk
Functional: PBE-GGA
Structure: optimized geometry

Lattice parameters (Å, degrees): 9.7815 9.7815 9.7815 52.72 52.72 52.72
Element x y z (fractional)
1 Cs 0.0000 0.0000 0.0000
2 Cs 0.0000 0.5000 0.5000
3 Cs 0.5000 0.0000 0.5000
4 Cs 0.5000 0.5000 0.0000
5 Sm 0.0000 0.0000 0.5000
6 Sm 0.0000 0.5000 0.0000
7 Sm 0.5000 0.0000 0.0000
8 U 0.5000 0.5000 0.5000
9 Se 0.2298 0.2298 0.2298
10 Se 0.2325 0.7277 0.7277
11 Se 0.2723 0.2723 0.7675
12 Se 0.2723 0.7675 0.2723
13 Se 0.7277 0.2325 0.7277
14 Se 0.7277 0.7277 0.2325
15 Se 0.7675 0.2723 0.2723
16 Se 0.7702 0.7702 0.7702

Values from the calculation:
E_form (uncorrected) = -25.40 eV/f.u.
space group = R-3m, No. 166

***

Compound: AcPt2Pb
Source: Alexandria via LeMat-Bulk
Functional: PBE-GGA
Structure: optimized geometry

Lattice parameters (Å, degrees): 5.9736 4.3422 7.7070 90.00 90.00 90.00
Element x y z (fractional)
1 Ac 0.2500 0.0000 0.2419
2 Ac 0.7500 0.0000 0.7581
3 Pt 0.0000 0.5000 0.0000
4 Pt 0.2500 0.0000 0.8479
5 Pt 0.5000 0.5000 0.0000
6 Pt 0.7500 0.0000 0.1521
7 Pb 0.2500 0.5000 0.6249
8 Pb 0.7500 0.5000 0.3751

Values from the calculation:
energy relative to the elements = -809 meV/atom
space group = Pmma, No. 51

***

Compound: PrSm2P
Source: Alexandria via LeMat-Bulk
Functional: PBE-GGA
Structure: optimized geometry

Lattice parameters (Å, degrees): 3.8337 3.8337 31.3097 90.00 90.00 120.00
Element x y z (fractional)
1 Pr 0.0000 0.0000 0.0000
2 Pr 0.3333 0.6667 0.6667
3 Pr 0.6667 0.3333 0.3333
4 Sm 0.0000 0.0000 0.1139
5 Sm 0.0000 0.0000 0.8861
6 Sm 0.3333 0.6667 0.5528
7 Sm 0.3333 0.6667 0.7805
8 Sm 0.6667 0.3333 0.2195
9 Sm 0.6667 0.3333 0.4472
10 P 0.0000 0.0000 0.5000
11 P 0.3333 0.6667 0.1667
12 P 0.6667 0.3333 0.8333

Values from the calculation:
energy relative to the elements = -538 meV/atom
space group = R-3m, No. 166

***

Compound: TiPd12Pb3
Source: Alexandria via LeMat-Bulk
Functional: PBE-GGA
Structure: optimized geometry

Lattice parameters (Å, degrees): 4.0608 4.0608 16.2923 90.00 90.00 90.00
Element x y z (fractional)
1 Ti 0.0000 0.0000 0.0000
2 Pd 0.0000 0.5000 0.1137
3 Pd 0.0000 0.5000 0.3720
4 Pd 0.0000 0.5000 0.6280
5 Pd 0.0000 0.5000 0.8863
6 Pd 0.5000 0.0000 0.1137
7 Pd 0.5000 0.0000 0.3720
8 Pd 0.5000 0.0000 0.6280
9 Pd 0.5000 0.0000 0.8863
10 Pd 0.5000 0.5000 0.0000
11 Pd 0.5000 0.5000 0.2439
12 Pd 0.5000 0.5000 0.5000
13 Pd 0.5000 0.5000 0.7561
14 Pb 0.0000 0.0000 0.2449
15 Pb 0.0000 0.0000 0.5000
16 Pb 0.0000 0.0000 0.7551

Values from the calculation:
energy relative to the elements = -377 meV/atom
space group = P4/mmm, No. 123

***

Compound: PmHoP
Source: Alexandria via LeMat-Bulk
Functional: PBE-GGA
Structure: optimized geometry

Lattice parameters (Å, degrees): 3.9874 11.2715 7.1629 90.00 90.01 90.00
Element x y z (fractional)
1 Pm 0.0010 0.0579 0.2695
2 Pm 0.0010 0.4421 0.7695
3 Pm 0.9990 0.5579 0.2305
4 Pm 0.9990 0.9421 0.7305
5 Ho 0.4990 0.6914 0.5948
6 Ho 0.4990 0.8086 0.0948
7 Ho 0.5010 0.1914 0.9052
8 Ho 0.5010 0.3086 0.4052
9 P 0.0010 0.1983 0.6223
10 P 0.0010 0.3017 0.1223
11 P 0.9990 0.6983 0.8777
12 P 0.9990 0.8017 0.3777

Values from the calculation:
offset from the most stable computed form = 17 meV/atom
energy relative to the elements = -927 meV/atom
space group = P2_1/c, No. 14

***

Compound: K3Tb2PuS6
Source: Alexandria via LeMat-Bulk
Functional: PBE-GGA
Structure: optimized geometry

Lattice parameters (Å, degrees): 7.0958 7.0958 7.7249 98.81 98.81 120.00
Element x y z (fractional)
1 K 0.0000 0.0000 0.0000
2 K 0.3332 0.6668 0.0000
3 K 0.6668 0.3332 0.0000
4 Tb 0.1666 0.8334 0.5000
5 Tb 0.8334 0.1666 0.5000
6 Pu 0.5000 0.5000 0.5000
7 S 0.0970 0.4327 0.2981
8 S 0.2317 0.2317 0.7022
9 S 0.4327 0.0970 0.2981
10 S 0.5673 0.9030 0.7019
11 S 0.7683 0.7683 0.2978
12 S 0.9030 0.5673 0.7019

Values from the calculation:
E_form (uncorrected) = -21.25 eV/f.u.
space group = C2/m, No. 12

***

Compound: AcBiF6
Source: Alexandria via LeMat-Bulk
Functional: PBE-GGA
Structure: optimized geometry

Lattice parameters (Å, degrees): 4.1803 7.2433 7.5717 90.00 90.00 90.00
Element x y z (fractional)
1 Ac 0.0000 0.0000 0.0000
2 Ac 0.0000 0.5000 0.5000
3 Bi 0.5000 0.0000 0.4898
4 Bi 0.5000 0.5000 0.9898
5 F 0.0000 0.0000 0.3562
6 F 0.0000 0.1840 0.6463
7 F 0.0000 0.3160 0.1463
8 F 0.0000 0.5000 0.8562
9 F 0.0000 0.6840 0.1463
10 F 0.0000 0.8160 0.6463
11 F 0.5000 0.0000 0.1947
12 F 0.5000 0.1937 0.9041
13 F 0.5000 0.3063 0.4041
14 F 0.5000 0.5000 0.6947
15 F 0.5000 0.6937 0.4041
16 F 0.5000 0.8063 0.9041

Values from the calculation:
E_form (uncorrected) = -26.11 eV/f.u.
space group = Amm2, No. 38

***

Compound: Na2PrGaF8
Source: Alexandria via LeMat-Bulk
Functional: PBE-GGA
Structure: optimized geometry

Lattice parameters (Å, degrees): 4.4218 7.0918 5.4083 90.00 92.19 90.00
Element x y z (fractional)
1 Na 0.0000 0.2291 0.0000
2 Na 0.0000 0.7709 0.0000
3 Pr 0.5000 0.5000 0.5000
4 Ga 0.5000 0.0000 0.5000
5 F 0.0646 0.5000 0.2517
6 F 0.1604 0.0000 0.2855
7 F 0.3712 0.2152 0.7083
8 F 0.3712 0.7848 0.7083
9 F 0.6288 0.2152 0.2917
10 F 0.6288 0.7848 0.2917
11 F 0.8396 0.0000 0.7145
12 F 0.9354 0.5000 0.7483

Values from the calculation:
E_form (uncorrected) = -37.40 eV/f.u.
space group = P2/m, No. 10

***

Compound: LiCa2SiH
Source: Alexandria via LeMat-Bulk
Functional: PBE-GGA
Structure: optimized geometry

Lattice parameters (Å, degrees): 4.8173 4.8173 4.0372 90.00 90.00 90.00
Element x y z (fractional)
1 Li 0.0000 0.0000 0.0000
2 Ca 0.0000 0.5000 0.5000
3 Ca 0.5000 0.0000 0.5000
4 Si 0.5000 0.5000 0.0000
5 H 0.0000 0.0000 0.5000

Values from the calculation:
VASP energy = -16.7 eV per formula unit
space group = P4/mmm, No. 123

***

Compound: KBeSnI5
Source: Alexandria via LeMat-Bulk
Functional: PBE-GGA
Structure: optimized geometry

Lattice parameters (Å, degrees): 8.3750 8.3750 11.3369 105.60 105.60 104.12
Element x y z (fractional)
1 K 0.1434 0.8566 0.7500
2 K 0.8566 0.1434 0.2500
3 Be 0.1856 0.8144 0.2500
4 Be 0.8144 0.1856 0.7500
5 Sn 0.5000 0.5000 0.0000
6 Sn 0.5000 0.5000 0.5000
7 I 0.0928 0.2484 0.9261
8 I 0.1635 0.5921 0.3518
9 I 0.2484 0.0928 0.4261
10 I 0.4046 0.5954 0.7500
11 I 0.4079 0.8365 0.1482
12 I 0.5921 0.1635 0.8518
13 I 0.5954 0.4046 0.2500
14 I 0.7516 0.9072 0.5739
15 I 0.8365 0.4079 0.6482
16 I 0.9072 0.7516 0.0739

Values from the calculation:
E_form (uncorrected) = -5.89 eV/f.u.
space group = C2/c, No. 15